# Hf3P3Pd4

A geometry-optimized Hf3P3Pd4 structure (PBE, the Alexandria database).

Cell and atoms, written as extended XYZ:
```
40
Lattice="16.468 0.000 0.000 0.000 3.806 0.000 0.000 0.000 10.042" Properties=species:S:1:pos:R:3 pbc="T T T"
Hf 0.788 0.952 1.180
Hf 1.006 2.855 5.904
Hf 3.943 0.952 9.825
Hf 4.291 2.855 4.804
Hf 7.228 0.952 0.883
Hf 7.446 2.855 6.201
Hf 9.022 0.952 3.841
Hf 9.239 2.855 9.159
Hf 12.177 0.952 5.238
Hf 12.525 2.855 0.217
Hf 15.462 0.952 4.138
Hf 15.680 2.855 8.862
P 0.706 2.855 3.223
P 1.878 2.855 9.706
P 2.911 0.952 6.128
P 5.323 2.855 1.107
P 6.356 0.952 4.685
P 7.528 0.952 8.245
P 8.940 2.855 1.798
P 10.112 2.855 5.357
P 11.145 0.952 8.936
P 13.557 2.855 3.915
P 14.590 0.952 0.336
P 15.762 0.952 6.819
Pd 1.322 0.952 8.221
Pd 2.112 0.952 3.843
Pd 2.888 2.855 1.902
Pd 3.398 2.855 7.710
Pd 4.836 0.952 2.689
Pd 5.346 0.952 6.923
Pd 6.122 2.855 8.864
Pd 6.912 2.855 3.200
Pd 9.556 0.952 6.842
Pd 10.346 0.952 1.178
Pd 11.122 2.855 3.119
Pd 11.632 2.855 7.353
Pd 13.069 0.952 2.332
Pd 13.580 0.952 8.140
Pd 14.356 2.855 6.199
Pd 15.146 2.855 1.821
```

Computed properties:
The total DFT energy (no corrections) comes out at -7.66 eV per atom. For the magnetic moment, the calculation gives 0.0 Bohr magnetons per cell. For the density of states at the Fermi level, the calculation gives 0.392 states/eV/atom.